Entry 1:
# Ti2NiWN PBE-GGA relaxed
# Fermi-level density of states (states/eV per cell): 6.14
# Mass density (g/cm3): 6.42
# Energy relative to the elements, uncorrected (eV/atom): 1.031
data_Ti2NiWN
_cell_length_a 4.869
_cell_length_b 4.869
_cell_length_c 3.845
_cell_angle_alpha 90.00
_cell_angle_beta 90.00
_cell_angle_gamma 90.00
_space_group_name_H-M_alt 'P 4/m m m'
_space_group_IT_number 123
_space_group_name_Hall '-P 4 2'
loop_
_atom_site_label
_atom_site_type_symbol
_atom_site_fract_x
_atom_site_fract_y
_atom_site_fract_z
_atom_site_occupancy
Ti1 Ti 0.000 0.500 0.000 1
Ni1 Ni 0.000 0.000 0.500 1
W1 W 0.500 0.500 0.000 1
N1 N 0.500 0.500 0.500 1


Entry 2:
# Ti2ZnNiN PBE-GGA relaxed
# Fermi-level density of states (states/eV per cell): 3.80
# Mass density (g/cm3): 4.61
# Energy relative to the elements, uncorrected (eV/atom): 1.015
data_Ti2ZnNiN
_cell_length_a 4.427
_cell_length_b 4.427
_cell_length_c 4.296
_cell_angle_alpha 90.00
_cell_angle_beta 90.00
_cell_angle_gamma 90.00
_space_group_name_H-M_alt 'P 4/m m m'
_space_group_IT_number 123
_space_group_name_Hall '-P 4 2'
loop_
_atom_site_label
_atom_site_type_symbol
_atom_site_fract_x
_atom_site_fract_y
_atom_site_fract_z
_atom_site_occupancy
Ti1 Ti 0.000 0.500 0.000 1
Zn1 Zn 0.000 0.000 0.500 1
Ni1 Ni 0.000 0.000 0.000 1
N1 N 0.500 0.500 0.500 1